# 1
# Pm6Pr2Er3Sc (PBE, optimized geometry)
data_Pm6Pr2Er3Sc
_cell_length_a 6.229
_cell_length_b 10.793
_cell_length_c 11.877
_cell_angle_alpha 90.00
_cell_angle_beta 100.08
_cell_angle_gamma 90.00
_symmetry_space_group_name_H-M 'C 1 2/m 1'
_symmetry_Int_Tables_number 12
loop_
_symmetry_equiv_pos_as_xyz
'x,y,z'
'-x,-y,-z'
'-x,y,-z'
'x,-y,z'
'x+1/2,y+1/2,z'
'-x+1/2,-y+1/2,-z'
'-x+1/2,y+1/2,-z'
'x+1/2,-y+1/2,z'
loop_
_atom_site_label
_atom_site_type_symbol
_atom_site_fract_x
_atom_site_fract_y
_atom_site_fract_z
Pm1 Pm 0.246 0.000 0.247
Pm2 Pm 0.248 0.165 0.752
Pr1 Pr 0.000 0.333 0.500
Er1 Er 0.000 0.166 0.000
Er2 Er 0.000 0.500 0.000
Sc1 Sc 0.000 0.000 0.500
# E_form: 27 meV per atom
# Magnetization: 0.00 μB per atom
# Calculated density: 7.2 g/cm³

=====

# 2
# Pm2PrErSc (PBE, optimized geometry)
data_Pm2PrErSc
_cell_length_a 8.256
_cell_length_b 11.436
_cell_length_c 7.191
_cell_angle_alpha 90.00
_cell_angle_beta 90.00
_cell_angle_gamma 90.00
_symmetry_space_group_name_H-M 'C m c m'
_symmetry_Int_Tables_number 63
_symmetry_space_group_name_Hall '-C 2c 2'
loop_
_atom_site_label
_atom_site_type_symbol
_atom_site_fract_x
_atom_site_fract_y
_atom_site_fract_z
Pm1 Pm 0.199 0.000 0.000
Pr1 Pr 0.000 0.228 0.250
Er1 Er 0.000 0.240 0.750
Sc1 Sc 0.000 0.490 0.250
# E_form: 341 meV per atom
# Magnetization: 0.00 μB per atom
# Calculated density: 6.3 g/cm³

=====

# 3
# PmPr2Er4Sc (PBE, optimized geometry)
data_PmPr2Er4Sc
_cell_length_a 12.258
_cell_length_b 7.108
_cell_length_c 12.258
_cell_angle_alpha 90.00
_cell_angle_beta 109.36
_cell_angle_gamma 90.00
_symmetry_space_group_name_H-M 'C 1 2/m 1'
_symmetry_Int_Tables_number 12
loop_
_symmetry_equiv_pos_as_xyz
'x,y,z'
'-x,-y,-z'
'-x,y,-z'
'x,-y,z'
'x+1/2,y+1/2,z'
'-x+1/2,-y+1/2,-z'
'-x+1/2,y+1/2,-z'
'x+1/2,-y+1/2,z'
loop_
_atom_site_label
_atom_site_type_symbol
_atom_site_fract_x
_atom_site_fract_y
_atom_site_fract_z
Pm1 Pm 0.000 0.000 0.000
Pm2 Pm 0.000 0.000 0.500
Pr1 Pr 0.000 0.500 0.000
Pr2 Pr 0.000 0.500 0.500
Pr3 Pr 0.250 0.250 0.000
Er1 Er 0.002 0.250 0.254
Er2 Er 0.249 0.000 0.743
Er3 Er 0.249 0.500 0.743
Sc1 Sc 0.250 0.250 0.500
# E_form: 36 meV per atom
# Magnetization: 0.00 μB per atom
# Calculated density: 7.5 g/cm³

=====

# 4
# Pm5PrEr2Sc (PBE, optimized geometry)
data_Pm5PrEr2Sc
_cell_length_a 5.638
_cell_length_b 20.257
_cell_length_c 10.476
_cell_angle_alpha 90.00
_cell_angle_beta 90.00
_cell_angle_gamma 90.00
_symmetry_space_group_name_H-M 'C m c 21'
_symmetry_Int_Tables_number 36
loop_
_symmetry_equiv_pos_as_xyz
'x,y,z'
'-x,-y,z+1/2'
'-x,y,z'
'x,-y,z+1/2'
'x+1/2,y+1/2,z'
'-x+1/2,-y+1/2,z+1/2'
'-x+1/2,y+1/2,z'
'x+1/2,-y+1/2,z+1/2'
loop_
_atom_site_label
_atom_site_type_symbol
_atom_site_fract_x
_atom_site_fract_y
_atom_site_fract_z
Pm1 Pm 0.000 0.016 0.000
Pm2 Pm 0.000 0.124 0.277
Pm3 Pm 0.000 0.202 0.966
Pm4 Pm 0.000 0.224 0.580
Pm5 Pm 0.000 0.483 0.274
Pr1 Pr 0.000 0.091 0.715
Er1 Er 0.000 0.384 0.994
Er2 Er 0.000 0.387 0.568
Sc1 Sc 0.000 0.305 0.273
# E_form: 165 meV per atom
# Magnetization: 0.00 μB per atom
# Calculated density: 6.9 g/cm³

=====

# 5
# Pm4Pr2ErSc (PBE, optimized geometry)
data_Pm4Pr2ErSc
_cell_length_a 5.087
_cell_length_b 5.110
_cell_length_c 10.154
_cell_angle_alpha 90.00
_cell_angle_beta 90.07
_cell_angle_gamma 90.00
_symmetry_space_group_name_H-M 'P 1 2/m 1'
_symmetry_Int_Tables_number 10
loop_
_symmetry_equiv_pos_as_xyz
'x,y,z'
'-x,-y,-z'
'-x,y,-z'
'x,-y,z'
loop_
_atom_site_label
_atom_site_type_symbol
_atom_site_fract_x
_atom_site_fract_y
_atom_site_fract_z
Pm1 Pm 0.000 0.000 0.246
Pm2 Pm 0.500 0.500 0.247
Pr1 Pr 0.000 0.500 0.000
Pr2 Pr 0.500 0.000 0.500
Er1 Er 0.000 0.500 0.500
Sc1 Sc 0.500 0.000 0.000
# E_form: 32 meV per atom
# Magnetization: 0.00 μB per atom
# Calculated density: 6.8 g/cm³

=====

# 6
# Pm2PrEr5Sc (PBE, optimized geometry)
data_Pm2PrEr5Sc
_cell_length_a 5.578
_cell_length_b 19.682
_cell_length_c 10.416
_cell_angle_alpha 90.00
_cell_angle_beta 90.00
_cell_angle_gamma 90.00
_symmetry_space_group_name_H-M 'C m c 21'
_symmetry_Int_Tables_number 36
loop_
_symmetry_equiv_pos_as_xyz
'x,y,z'
'-x,-y,z+1/2'
'-x,y,z'
'x,-y,z+1/2'
'x+1/2,y+1/2,z'
'-x+1/2,-y+1/2,z+1/2'
'-x+1/2,y+1/2,z'
'x+1/2,-y+1/2,z+1/2'
loop_
_atom_site_label
_atom_site_type_symbol
_atom_site_fract_x
_atom_site_fract_y
_atom_site_fract_z
Pm1 Pm 0.000 0.112 0.000
Pm2 Pm 0.000 0.115 0.418
Pr1 Pr 0.000 0.414 0.142
Er1 Er 0.000 0.018 0.706
Er2 Er 0.000 0.277 0.008
Er3 Er 0.000 0.297 0.390
Er4 Er 0.000 0.375 0.704
Er5 Er 0.000 0.482 0.424
Sc1 Sc 0.000 0.197 0.699
# E_form: 165 meV per atom
# Magnetization: 0.00 μB per atom
# Calculated density: 7.6 g/cm³

=====

# 7
# Pm3Pr4ErSe8 (PBE, optimized geometry)
data_Pm3Pr4ErSe8
_cell_length_a 8.3964
_cell_length_b 8.3964
_cell_length_c 20.7945
_cell_angle_alpha 90.00
_cell_angle_beta 90.00
_cell_angle_gamma 120.00
_symmetry_space_group_name_H-M 'R -3 m'
_symmetry_Int_Tables_number 166
_symmetry_space_group_name_Hall '-R 3 2"'
loop_
_atom_site_label
_atom_site_type_symbol
_atom_site_fract_x
_atom_site_fract_y
_atom_site_fract_z
Pm1 Pm 0.0000 0.5000 0.0000
Pr1 Pr 0.0000 0.0000 0.5000
Pr2 Pr 0.0000 0.5000 0.5000
Er1 Er 0.0000 0.0000 0.0000
Se1 Se 0.0000 0.0000 0.2521
Se2 Se 0.0077 0.5039 0.7460
# Magnetization: 0.00 μB per atom
# Calculated density: 7.1 g/cm³
# Calculated total energy: -5.930 eV/atom

=====

# 8
# Pm2PrErSe5 (PBE, optimized geometry)
data_Pm2PrErSe5
_cell_length_a 5.106
_cell_length_b 5.106
_cell_length_c 11.029
_cell_angle_alpha 90.00
_cell_angle_beta 90.00
_cell_angle_gamma 90.00
_symmetry_space_group_name_H-M 'P 4/m m m'
_symmetry_Int_Tables_number 123
_symmetry_space_group_name_Hall '-P 4 2'
loop_
_atom_site_label
_atom_site_type_symbol
_atom_site_fract_x
_atom_site_fract_y
_atom_site_fract_z
Pm1 Pm 0.000 0.000 0.166
Pr1 Pr 0.500 0.500 0.500
Er1 Er 0.500 0.500 0.000
Se1 Se 0.000 0.000 0.500
Se2 Se 0.000 0.500 0.000
Se3 Se 0.500 0.500 0.247
# Magnetization: 0.00 μB per atom
# Calculated density: 5.7 g/cm³
# Calculated total energy: -5.315 eV/atom

=====

# 9
# PmPr4Er3Se8 (PBE, optimized geometry)
data_PmPr4Er3Se8
_cell_length_a 8.2439
_cell_length_b 8.2439
_cell_length_c 20.9794
_cell_angle_alpha 90.00
_cell_angle_beta 90.00
_cell_angle_gamma 120.00
_symmetry_space_group_name_H-M 'R -3 m'
_symmetry_Int_Tables_number 166
_symmetry_space_group_name_Hall '-R 3 2"'
loop_
_atom_site_label
_atom_site_type_symbol
_atom_site_fract_x
_atom_site_fract_y
_atom_site_fract_z
Pm1 Pm 0.0000 0.0000 0.0000
Pr1 Pr 0.0000 0.0000 0.5000
Pr2 Pr 0.0000 0.5000 0.5000
Er1 Er 0.0000 0.5000 0.0000
Se1 Se 0.0000 0.0000 0.2573
Se2 Se 0.0071 0.5035 0.2558
# Magnetization: 0.00 μB per atom
# Calculated density: 7.4 g/cm³
# Calculated total energy: -5.879 eV/atom

=====

# 10
# Pm2PrErSe4 (PBE, optimized geometry)
data_Pm2PrErSe4
_cell_length_a 7.212
_cell_length_b 4.114
_cell_length_c 7.335
_cell_angle_alpha 90.00
_cell_angle_beta 108.71
_cell_angle_gamma 90.00
_symmetry_space_group_name_H-M 'P 1 2/m 1'
_symmetry_Int_Tables_number 10
loop_
_symmetry_equiv_pos_as_xyz
'x,y,z'
'-x,-y,-z'
'-x,y,-z'
'x,-y,z'
loop_
_atom_site_label
_atom_site_type_symbol
_atom_site_fract_x
_atom_site_fract_y
_atom_site_fract_z
Pm1 Pm 0.000 0.000 0.000
Pm2 Pm 0.000 0.500 0.500
Pr1 Pr 0.500 0.000 0.500
Er1 Er 0.500 0.500 0.000
Se1 Se 0.251 0.500 0.240
Se2 Se 0.259 0.000 0.763
# Magnetization: 0.00 μB per atom
# Calculated density: 7.4 g/cm³
# Calculated total energy: -5.892 eV/atom

=====

# 11
# PmPr4ErSe8 (PBE, optimized geometry)
data_PmPr4ErSe8
_cell_length_a 8.6890
_cell_length_b 8.6890
_cell_length_c 21.2403
_cell_angle_alpha 90.00
_cell_angle_beta 90.00
_cell_angle_gamma 120.00
_symmetry_space_group_name_H-M 'R 3 m'
_symmetry_Int_Tables_number 160
_symmetry_space_group_name_Hall 'R 3 -2"'
loop_
_atom_site_label
_atom_site_type_symbol
_atom_site_fract_x
_atom_site_fract_y
_atom_site_fract_z
Pm1 Pm 0.0000 0.0000 0.0000
Pr1 Pr 0.0000 0.0000 0.6220
Pr2 Pr 0.1701 0.3403 0.8300
Er1 Er 0.0000 0.0000 0.3728
Se1 Se 0.0000 0.0000 0.2457
Se2 Se 0.0000 0.0000 0.7557
Se3 Se 0.0083 0.5041 0.7469
Se4 Se 0.1794 0.3589 0.5791
# Magnetization: 0.04 μB per atom
# Calculated density: 5.4 g/cm³
# Calculated total energy: -5.745 eV/atom

=====

# 12
# Pm4PrEr3Se8 (PBE, optimized geometry)
data_Pm4PrEr3Se8
_cell_length_a 8.2576
_cell_length_b 8.2576
_cell_length_c 20.5255
_cell_angle_alpha 90.00
_cell_angle_beta 90.00
_cell_angle_gamma 120.00
_symmetry_space_group_name_H-M 'R -3 m'
_symmetry_Int_Tables_number 166
_symmetry_space_group_name_Hall '-R 3 2"'
loop_
_atom_site_label
_atom_site_type_symbol
_atom_site_fract_x
_atom_site_fract_y
_atom_site_fract_z
Pm1 Pm 0.0000 0.0000 0.0000
Pm2 Pm 0.0000 0.5000 0.0000
Pr1 Pr 0.0000 0.0000 0.5000
Er1 Er 0.0000 0.5000 0.5000
Se1 Se 0.0000 0.0000 0.2447
Se2 Se 0.0098 0.5049 0.7530
# Magnetization: 0.00 μB per atom
# Calculated density: 7.6 g/cm³
# Calculated total energy: -5.861 eV/atom